No. 1
PBE CsPu, optimized geometry; total DFT energy (no corrections) = -13.36 eV/f.u.; calculated volume = 47.8 A^3/atom
1.0
3.863 0.000 0.000
-1.931 3.345 0.000
0.000 0.000 7.398
Cs Pu
1 1
Cartesian
0.000 0.000 0.000 Cs
1.931 1.115 3.699 Pu


No. 2
PBE CuTcTe3, optimized geometry; total DFT energy (no corrections) = -23.71 eV/f.u.; calculated volume = 23.0 A^3/atom
1.0
3.516 2.030 5.371
-3.516 2.030 5.371
0.000 -4.059 5.371
Cu Tc Te
2 2 6
Cartesian
0.000 0.000 0.000 Cu
0.000 0.000 8.057 Cu
0.000 0.000 2.830 Tc
0.000 0.000 10.887 Tc
-2.372 -0.016 6.878 Te
-1.143 -2.046 9.563 Te
1.200 -2.046 6.878 Te
-1.200 2.013 9.563 Te
1.172 2.063 6.878 Te
2.344 0.033 9.563 Te


No. 3
PBE DyTm2Tl3PtAu2, optimized geometry; total DFT energy (no corrections) = -38.86 eV/f.u.; calculated volume = 22.7 A^3/atom
1.0
3.882 0.000 0.000
0.000 6.765 3.895
0.000 -6.765 3.895
Dy Tm Tl Pt Au
1 2 3 1 2
Cartesian
0.000 0.000 0.000 Dy
0.000 -2.694 3.129 Tm
0.000 2.694 3.129 Tm
1.941 0.000 2.623 Tl
1.941 -1.775 5.705 Tl
1.941 1.775 5.705 Tl
0.000 0.000 4.662 Pt
1.941 -4.488 4.685 Au
1.941 4.488 4.685 Au


No. 4
PBE BaSrTmSb2, optimized geometry; total DFT energy (no corrections) = -20.86 eV/f.u.; calculated volume = 38.2 A^3/atom
1.0
2.485 -9.643 0.000
2.485 9.643 0.000
0.000 0.000 7.979
Ba Sr Tm Sb
2 2 2 4
Cartesian
2.485 5.813 3.989 Ba
2.485 -5.813 0.000 Ba
2.485 9.070 1.591 Sr
2.485 -9.070 5.580 Sr
2.485 1.865 2.833 Tm
2.485 -1.865 6.823 Tm
2.485 6.322 7.676 Sb
2.485 1.052 7.890 Sb
2.485 -1.052 3.901 Sb
2.485 -6.322 3.687 Sb


No. 5
PBE LaEr3S6, optimized geometry; total DFT energy (no corrections) = -64.65 eV/f.u.; calculated volume = 23.6 A^3/atom
1.0
11.062 0.000 0.000
0.000 3.989 0.000
-3.617 0.000 10.687
La Er S
2 6 12
Cartesian
-0.158 0.997 2.083 La
7.602 2.992 8.604 La
-0.339 0.997 6.278 Er
-0.060 2.992 10.673 Er
3.676 0.997 3.561 Er
3.769 2.992 7.126 Er
7.504 0.997 0.014 Er
7.783 2.992 4.409 Er
-0.568 2.992 4.359 S
-2.140 0.997 10.295 S
-0.515 2.992 8.000 S
2.125 2.992 2.450 S
2.346 0.997 5.983 S
4.882 0.997 1.188 S
2.563 2.992 9.499 S
5.099 2.992 4.704 S
5.319 0.997 8.237 S
7.959 0.997 2.687 S
9.585 2.992 0.393 S
8.012 0.997 6.328 S


No. 6
PBE KNiBi, optimized geometry; total DFT energy (no corrections) = -9.70 eV/f.u.; calculated volume = 27.2 A^3/atom
1.0
6.886 0.000 0.000
0.000 6.886 0.000
0.000 0.000 6.886
K Ni Bi
4 4 4
Cartesian
0.000 0.000 0.000 K
0.000 3.443 3.443 K
3.443 0.000 3.443 K
3.443 3.443 0.000 K
1.722 1.722 5.165 Ni
1.722 5.165 1.722 Ni
5.165 1.722 1.722 Ni
5.165 5.165 5.165 Ni
0.000 0.000 3.443 Bi
0.000 3.443 0.000 Bi
3.443 0.000 0.000 Bi
3.443 3.443 3.443 Bi